No. 1
FeSi2Ru, relaxed, DFT PBE; total magnetization = 2.01 μB/cell; VASP energy = -28.2 eV per formula unit
1.0
0.000 2.955 2.955
2.955 0.000 2.955
2.955 2.955 0.000
Fe Si Ru
1 2 1
direct
0.000 0.000 0.000 Fe
0.250 0.250 0.250 Si
0.500 0.500 0.500 Si
0.750 0.750 0.750 Ru

---

No. 2
P2AuSO, relaxed, DFT PBE; total magnetization = 0.30 μB/cell; VASP energy = -15.0 eV per formula unit
1.0
4.817 0.000 0.000
0.000 4.817 0.000
0.000 0.000 4.786
P Au S O
2 1 1 1
direct
0.000 0.500 0.000 P
0.500 0.000 0.000 P
0.000 0.000 0.000 Au
0.000 0.000 0.500 S
0.500 0.500 0.500 O

---

No. 3
AcGe3Rh, relaxed, DFT PBE; total magnetization = 0.00 μB/cell; formation energy from the elements = -0.7353 eV/atom; VASP energy = -29.0 eV per formula unit
1.0
-2.266 2.266 5.116
2.266 -2.266 5.116
2.266 2.266 -5.116
Ac Ge Rh
1 3 1
direct
0.000 0.000 0.000 Ac
0.257 0.757 0.500 Ge
0.414 0.414 0.000 Ge
0.757 0.257 0.500 Ge
0.655 0.655 0.000 Rh

---

No. 4
YMoAu, relaxed, DFT PBE; total magnetization = 1.28 μB/cell; formation energy from the elements = 0.1620 eV/atom; VASP energy = -20.1 eV per formula unit
1.0
-1.715 1.715 5.367
1.715 -1.715 5.367
1.715 1.715 -5.367
Y Mo Au
1 1 1
direct
0.000 0.000 0.000 Y
0.683 0.683 0.000 Mo
0.310 0.310 0.000 Au

---

No. 5
Ac6Ru2RhCl2, relaxed, DFT PBE; total magnetization = 0.00 μB/cell; VASP energy = -63.3 eV per formula unit
1.0
3.743 -6.454 0.000
3.743 6.454 0.000
-2.594 0.000 7.856
Ac Ru Rh Cl
6 2 1 2
direct
0.090 0.432 0.794 Ac
0.235 0.235 0.200 Ac
0.432 0.090 0.794 Ac
0.568 0.910 0.206 Ac
0.765 0.765 0.800 Ac
0.910 0.568 0.206 Ac
0.171 0.829 0.000 Ru
0.829 0.171 0.000 Ru
0.500 0.500 0.000 Rh
0.333 0.667 0.500 Cl
0.667 0.333 0.500 Cl

---

No. 6
ScCoMo, relaxed, DFT PBE; total magnetization = 0.00 μB/cell; formation energy from the elements = 0.2599 eV/atom; VASP energy = -23.5 eV per formula unit
1.0
0.000 2.959 2.959
2.959 0.000 2.959
2.959 2.959 0.000
Sc Co Mo
1 1 1
direct
0.000 0.000 0.000 Sc
0.750 0.750 0.750 Co
0.500 0.500 0.500 Mo